a | This record from Alexandria describes a geometry-optimized PmHo3Er structure. The functional is PBE.

Calculated values
total magnetic moment = 0.002 μB per formula unit
ρ = 7.75 g cm⁻³

```
data_PmHo3Er
_chemical_formula_sum 'Pm2 Ho6 Er2'
_cell_length_a 3.619
_cell_length_b 11.542
_cell_length_c 8.471
_cell_angle_alpha 90.00
_cell_angle_beta 102.30
_cell_angle_gamma 90.00
_symmetry_space_group_name_H-M 'P 1 21/m 1'
_symmetry_Int_Tables_number 11
loop_
_symmetry_equiv_pos_as_xyz
'x,y,z'
'-x,-y,-z'
'-x,y+1/2,-z'
'x,-y+1/2,z'
loop_
_atom_site_label
_atom_site_fract_x
_atom_site_fract_y
_atom_site_fract_z
Pm1 0.191 0.250 0.383
Ho1 0.146 0.750 0.291
Ho2 0.347 0.002 0.694
Er1 0.483 0.750 0.963
```

***

b | This record from Alexandria describes a geometry-optimized PmHo3Er structure. The functional is PBE.

Calculated values
total magnetic moment = 0.000 μB per formula unit
ρ = 8.38 g cm⁻³

```
data_PmHo3Er
_chemical_formula_sum 'Pm2 Ho6 Er2'
_cell_length_a 6.273
_cell_length_b 5.633
_cell_length_c 9.575
_cell_angle_alpha 90.00
_cell_angle_beta 109.08
_cell_angle_gamma 90.00
_symmetry_space_group_name_H-M 'P 1 21/m 1'
_symmetry_Int_Tables_number 11
loop_
_symmetry_equiv_pos_as_xyz
'x,y,z'
'-x,-y,-z'
'-x,y+1/2,-z'
'x,-y+1/2,z'
loop_
_atom_site_label
_atom_site_fract_x
_atom_site_fract_y
_atom_site_fract_z
Pm1 0.068 0.250 0.300
Ho1 0.134 0.750 0.098
Ho2 0.268 0.250 0.702
Ho3 0.336 0.750 0.501
Er1 0.466 0.250 0.099
```

***

Of them, a has the lowest stability.

***

a | This record from Alexandria describes a geometry-optimized PmHo2Er6 structure. The functional is PBE.

Calculated values
total magnetic moment = 0.000 μB per formula unit
ρ = 8.80 g cm⁻³

```
data_PmHo2Er6
_chemical_formula_sum 'Pm2 Ho4 Er12'
_cell_length_a 10.571
_cell_length_b 10.571
_cell_length_c 4.991
_cell_angle_alpha 90.00
_cell_angle_beta 90.00
_cell_angle_gamma 90.00
_symmetry_space_group_name_H-M 'P 42/m n m'
_symmetry_Int_Tables_number 136
_symmetry_space_group_name_Hall '-P 4n 2n'
loop_
_atom_site_label
_atom_site_fract_x
_atom_site_fract_y
_atom_site_fract_z
Pm1 0.000 0.000 0.000
Ho1 0.168 0.168 0.500
Er1 0.000 0.334 0.000
Er2 0.168 0.832 0.500
```

***

b | This record from Alexandria describes a geometry-optimized PmHo2Er6 structure. The functional is PBE.

Calculated values
total magnetic moment = 0.000 μB per formula unit
ρ = 8.66 g cm⁻³

```
data_PmHo2Er6
_chemical_formula_sum 'Pm2 Ho4 Er12'
_cell_length_a 11.594
_cell_length_b 3.489
_cell_length_c 14.394
_cell_angle_alpha 90.00
_cell_angle_beta 103.19
_cell_angle_gamma 90.00
_symmetry_space_group_name_H-M 'C 1 2/m 1'
_symmetry_Int_Tables_number 12
loop_
_symmetry_equiv_pos_as_xyz
'x,y,z'
'-x,-y,-z'
'-x,y,-z'
'x,-y,z'
'x+1/2,y+1/2,z'
'-x+1/2,-y+1/2,-z'
'-x+1/2,y+1/2,-z'
'x+1/2,-y+1/2,z'
loop_
_atom_site_label
_atom_site_fract_x
_atom_site_fract_y
_atom_site_fract_z
Pm1 0.000 0.000 0.000
Ho1 0.107 0.500 0.224
Er1 0.122 0.000 0.445
Er2 0.138 0.500 0.655
Er3 0.199 0.500 0.895
```

***

Of them, b has the lowest stability.

***

a | This record from Alexandria describes a geometry-optimized Pm2HoEr7 structure. The functional is PBE.

Calculated values
total magnetic moment = 0.001 μB per formula unit
ρ = 8.38 g cm⁻³

```
data_Pm2HoEr7
_chemical_formula_sum 'Pm4 Ho2 Er14'
_cell_length_a 6.435
_cell_length_b 28.618
_cell_length_c 3.498
_cell_angle_alpha 90.00
_cell_angle_beta 90.00
_cell_angle_gamma 90.00
_symmetry_space_group_name_H-M 'C m m m'
_symmetry_Int_Tables_number 65
_symmetry_space_group_name_Hall '-C 2 2'
loop_
_atom_site_label
_atom_site_fract_x
_atom_site_fract_y
_atom_site_fract_z
Pm1 0.000 0.208 0.000
Ho1 0.000 0.500 0.500
Er1 0.000 0.000 0.000
Er2 0.000 0.316 0.500
Er3 0.246 0.402 0.000
```

***

b | This record from Alexandria describes a geometry-optimized Pm2HoEr7 structure. The functional is PBE.

Calculated values
total magnetic moment = 0.000 μB per formula unit
ρ = 8.64 g cm⁻³

```
data_Pm2HoEr7
_chemical_formula_sum 'Pm2 Ho1 Er7'
_cell_length_a 6.116
_cell_length_b 7.067
_cell_length_c 7.912
_cell_angle_alpha 77.07
_cell_angle_beta 75.01
_cell_angle_gamma 73.41
_symmetry_space_group_name_H-M 'P -1'
_symmetry_Int_Tables_number 2
loop_
_symmetry_equiv_pos_as_xyz
'x,y,z'
'-x,-y,-z'
loop_
_atom_site_label
_atom_site_fract_x
_atom_site_fract_y
_atom_site_fract_z
Pm1 0.201 0.299 0.101
Ho1 0.000 0.500 0.500
Er1 0.000 0.000 0.500
Er2 0.199 0.800 0.101
Er3 0.399 0.101 0.698
Er4 0.400 0.601 0.699
```

***

Of them, a has the lowest stability.

***

a | This record from Alexandria describes a geometry-optimized Pm4Ho2Er5 structure. The functional is PBE.

Calculated values
total magnetic moment = 0.000 μB per formula unit
ρ = 8.20 g cm⁻³

```
data_Pm4Ho2Er5
_chemical_formula_sum 'Pm8 Ho4 Er10'
_cell_length_a 19.075
_cell_length_b 5.628
_cell_length_c 6.588
_cell_angle_alpha 90.00
_cell_angle_beta 90.99
_cell_angle_gamma 90.00
_symmetry_space_group_name_H-M 'C 1 2/m 1'
_symmetry_Int_Tables_number 12
loop_
_symmetry_equiv_pos_as_xyz
'x,y,z'
'-x,-y,-z'
'-x,y,-z'
'x,-y,z'
'x+1/2,y+1/2,z'
'-x+1/2,-y+1/2,-z'
'-x+1/2,y+1/2,-z'
'x+1/2,-y+1/2,z'
loop_
_atom_site_label
_atom_site_fract_x
_atom_site_fract_y
_atom_site_fract_z
Pm1 0.021 0.000 0.287
Pm2 0.195 0.500 0.073
Ho1 0.098 0.500 0.555
Er1 0.000 0.500 0.000
Er2 0.130 0.000 0.890
Er3 0.209 0.000 0.402
```

***

b | This record from Alexandria describes a geometry-optimized Pm4Ho2Er5 structure. The functional is PBE.

Calculated values
total magnetic moment = 0.000 μB per formula unit
ρ = 7.95 g cm⁻³

```
data_Pm4Ho2Er5
_chemical_formula_sum 'Pm8 Ho4 Er10'
_cell_length_a 23.907
_cell_length_b 3.504
_cell_length_c 8.830
_cell_angle_alpha 90.00
_cell_angle_beta 99.62
_cell_angle_gamma 90.00
_symmetry_space_group_name_H-M 'C 1 2/m 1'
_symmetry_Int_Tables_number 12
loop_
_symmetry_equiv_pos_as_xyz
'x,y,z'
'-x,-y,-z'
'-x,y,-z'
'x,-y,z'
'x+1/2,y+1/2,z'
'-x+1/2,-y+1/2,-z'
'-x+1/2,y+1/2,-z'
'x+1/2,-y+1/2,z'
loop_
_atom_site_label
_atom_site_fract_x
_atom_site_fract_y
_atom_site_fract_z
Pm1 0.028 0.000 0.193
Pm2 0.130 0.500 0.034
Ho1 0.102 0.000 0.691
Er1 0.000 0.500 0.500
Er2 0.182 0.000 0.400
Er3 0.231 0.000 0.828
```

***

Of them, b has the lowest stability.

***

a | This record from Alexandria describes a geometry-optimized PmSmHoEr structure. The functional is PBE.

Calculated values
total magnetic moment = 0.005 μB per formula unit
ρ = 8.06 g cm⁻³

```
data_PmSmHoEr
_chemical_formula_sum 'Pm1 Sm1 Ho1 Er1'
_cell_length_a 5.022
_cell_length_b 5.074
_cell_length_c 5.075
_cell_angle_alpha 90.00
_cell_angle_beta 90.00
_cell_angle_gamma 90.00
_symmetry_space_group_name_H-M 'P m m m'
_symmetry_Int_Tables_number 47
loop_
_symmetry_equiv_pos_as_xyz
'x,y,z'
'-x,-y,-z'
'-x,-y,z'
'x,y,-z'
'x,-y,-z'
'-x,y,z'
'-x,y,-z'
'x,-y,z'
loop_
_atom_site_label
_atom_site_fract_x
_atom_site_fract_y
_atom_site_fract_z
Pm1 0.000 0.000 0.000
Sm1 0.000 0.500 0.500
Ho1 0.500 0.000 0.500
Er1 0.500 0.500 0.000
```

***

b | This record from Alexandria describes a geometry-optimized PmSmHoEr structure. The functional is PBE.

Calculated values
total magnetic moment = 0.002 μB per formula unit
ρ = 7.96 g cm⁻³

```
data_PmSmHoEr
_chemical_formula_sum 'Pm4 Sm4 Ho4 Er4'
_cell_length_a 8.059
_cell_length_b 8.059
_cell_length_c 8.059
_cell_angle_alpha 90.00
_cell_angle_beta 90.00
_cell_angle_gamma 90.00
_symmetry_space_group_name_H-M 'F -4 3 m'
_symmetry_Int_Tables_number 216
_symmetry_space_group_name_Hall 'F -4 2 3'
loop_
_atom_site_label
_atom_site_fract_x
_atom_site_fract_y
_atom_site_fract_z
Pm1 0.000 0.000 0.000
Sm1 0.000 0.000 0.500
Ho1 0.250 0.250 0.250
Er1 0.250 0.250 0.750
```

***

Of them, b has the lowest stability.